# LaZn12Cu6 (GGA-PBE, optimized geometry)
# **E_form**: -0.087 eV/atom
data_LaZn12Cu6
_space_group_name_H-M_alt 'R -3 m'
_space_group_IT_number 166
_space_group_name_Hall '-R 3 2"'
_cell_length_a 11.0082
_cell_length_b 11.0082
_cell_length_c 8.5982
_cell_angle_alpha 90.00
_cell_angle_beta 90.00
_cell_angle_gamma 120.00
loop_
_atom_site_label
_atom_site_fract_x
_atom_site_fract_y
_atom_site_fract_z
La1 0.0000 0.0000 0.0000
Zn1 0.0000 0.3864 0.5000
Zn2 0.0871 0.1743 0.3185
Cu1 0.0484 0.5242 0.2484